# CdAsRh SCAN PBEsol geometry
# - total magnetic moment (μB per formula unit) = 0.00
data_CdAsRh
_space_group_name_H-M_alt 'I 4 m m'
_space_group_IT_number 107
_space_group_name_Hall 'I 4 -2'
_cell_length_a 2.9878
_cell_length_b 2.9878
_cell_length_c 11.5797
_cell_angle_alpha 90.00
_cell_angle_beta 90.00
_cell_angle_gamma 90.00
loop_
_atom_site_label
_atom_site_type_symbol
_atom_site_fract_x
_atom_site_fract_y
_atom_site_fract_z
Cd1 Cd 0.0000 0.0000 0.0000
As1 As 0.0000 0.0000 0.2870
Rh1 Rh 0.0000 0.0000 0.6682

# Cd2AsRh SCAN PBEsol geometry
# - total magnetic moment (μB per formula unit) = 0.00
data_Cd2AsRh
_space_group_name_H-M_alt 'P 4/m m m'
_space_group_IT_number 123
_space_group_name_Hall '-P 4 2'
_cell_length_a 2.9807
_cell_length_b 2.9807
_cell_length_c 8.1835
_cell_angle_alpha 90.00
_cell_angle_beta 90.00
_cell_angle_gamma 90.00
loop_
_atom_site_label
_atom_site_type_symbol
_atom_site_fract_x
_atom_site_fract_y
_atom_site_fract_z
Cd1 Cd 0.0000 0.0000 0.2195
As1 As 0.5000 0.5000 0.5000
Rh1 Rh 0.5000 0.5000 0.0000

# CdAsRh SCAN PBEsol geometry
# - total magnetic moment (μB per formula unit) = 0.00
data_CdAsRh
_space_group_name_H-M_alt 'P 3 m 1'
_space_group_IT_number 156
_space_group_name_Hall 'P 3 -2"'
_cell_length_a 3.1545
_cell_length_b 3.1545
_cell_length_c 6.1937
_cell_angle_alpha 90.00
_cell_angle_beta 90.00
_cell_angle_gamma 120.00
loop_
_atom_site_label
_atom_site_type_symbol
_atom_site_fract_x
_atom_site_fract_y
_atom_site_fract_z
Cd1 Cd 0.0000 0.0000 0.0000
As1 As 0.6667 0.3333 0.4059
Rh1 Rh 0.3333 0.6667 0.6559

no.,E (eV per formula unit)
1,-85.23
2,-114.53
3,-85.24